Here is an optimized crystal structure of Pm2Ge3Pt5 from OQMD. Energies are from PBE.

Geometry as POSCAR:
```
Pm2Ge3Pt5
1.0
-5.0296 6.5758 2.9122
5.0296 -6.5758 2.9122
5.0296 6.5758 -2.9122
Pt Pm Ge
10 4 6
direct
0.2500 0.7500 0.5000 Pt
0.1285 0.1132 0.2417 Pt
0.0318 0.7500 0.2818 Pt
0.9682 0.2500 0.7182 Pt
0.5318 0.2500 0.2818 Pt
0.3715 0.6132 0.9848 Pt
0.6285 0.3868 0.0152 Pt
0.4682 0.7500 0.7182 Pt
0.7500 0.2500 0.5000 Pt
0.8715 0.8868 0.7583 Pt
0.1333 0.7685 0.9018 Pm
0.3667 0.2685 0.6353 Pm
0.6333 0.7315 0.3647 Pm
0.8667 0.2315 0.0982 Pm
0.1087 0.3521 0.4608 Ge
0.8913 0.6479 0.5392 Ge
0.7500 0.7500 0.0000 Ge
0.6087 0.1479 0.7566 Ge
0.2500 0.2500 0.0000 Ge
0.3913 0.8521 0.2434 Ge
```

Results
* electronic total energy: -125.20 eV for the cell shown
* size of the total moment: 0.0 μB/cell